Model w:
Li5InO4 | PBE-GGA | optimized geometry

Cell and atoms, written as POSCAR:
```
Li5InO4
1.0
9.390 0.000 0.000
0.000 9.482 0.000
0.000 0.000 9.625
Li In O
40 8 32
direct
0.113 0.099 0.138 Li
0.113 0.401 0.638 Li
0.121 0.612 0.839 Li
0.121 0.888 0.339 Li
0.127 0.141 0.885 Li
0.127 0.359 0.385 Li
0.148 0.134 0.620 Li
0.148 0.366 0.120 Li
0.158 0.617 0.399 Li
0.158 0.883 0.899 Li
0.342 0.117 0.399 Li
0.342 0.383 0.899 Li
0.352 0.634 0.620 Li
0.352 0.866 0.120 Li
0.373 0.641 0.885 Li
0.373 0.859 0.385 Li
0.379 0.112 0.839 Li
0.379 0.388 0.339 Li
0.387 0.599 0.138 Li
0.387 0.901 0.638 Li
0.613 0.099 0.362 Li
0.613 0.401 0.862 Li
0.621 0.612 0.661 Li
0.621 0.888 0.161 Li
0.627 0.141 0.615 Li
0.627 0.359 0.115 Li
0.648 0.134 0.880 Li
0.648 0.366 0.380 Li
0.658 0.617 0.101 Li
0.658 0.883 0.601 Li
0.842 0.117 0.101 Li
0.842 0.383 0.601 Li
0.852 0.634 0.880 Li
0.852 0.866 0.380 Li
0.873 0.641 0.615 Li
0.873 0.859 0.115 Li
0.879 0.112 0.661 Li
0.879 0.388 0.161 Li
0.887 0.599 0.362 Li
0.887 0.901 0.862 Li
0.099 0.649 0.123 In
0.099 0.851 0.623 In
0.401 0.149 0.123 In
0.401 0.351 0.623 In
0.599 0.649 0.377 In
0.599 0.851 0.877 In
0.901 0.149 0.377 In
0.901 0.351 0.877 In
0.005 0.240 0.028 O
0.005 0.260 0.528 O
0.027 0.008 0.758 O
0.027 0.492 0.258 O
0.239 0.524 0.000 O
0.239 0.976 0.500 O
0.250 0.246 0.253 O
0.250 0.254 0.753 O
0.250 0.746 0.253 O
0.250 0.754 0.753 O
0.261 0.024 0.000 O
0.261 0.476 0.500 O
0.473 0.508 0.758 O
0.473 0.992 0.258 O
0.495 0.740 0.028 O
0.495 0.760 0.528 O
0.505 0.240 0.472 O
0.505 0.260 0.972 O
0.527 0.008 0.742 O
0.527 0.492 0.242 O
0.739 0.524 0.500 O
0.739 0.976 0.000 O
0.750 0.246 0.247 O
0.750 0.254 0.747 O
0.750 0.746 0.247 O
0.750 0.754 0.747 O
0.761 0.024 0.500 O
0.761 0.476 0.000 O
0.973 0.508 0.742 O
0.973 0.992 0.242 O
0.995 0.740 0.472 O
0.995 0.760 0.972 O
```

calculated volume	856.94	Å³ per cell

Model x:
Li5InO4 | PBE-GGA | optimized geometry

Cell and atoms, written as POSCAR:
```
Li5InO4
1.0
6.587 0.000 0.000
0.000 7.013 0.000
0.000 0.000 4.809
Li In O
10 2 8
direct
0.008 0.058 0.247 Li
0.008 0.442 0.247 Li
0.250 0.750 0.232 Li
0.492 0.058 0.247 Li
0.492 0.442 0.247 Li
0.508 0.558 0.753 Li
0.508 0.942 0.753 Li
0.750 0.250 0.768 Li
0.992 0.558 0.753 Li
0.992 0.942 0.753 Li
0.250 0.250 0.769 In
0.750 0.750 0.231 In
0.010 0.750 0.467 O
0.250 0.501 0.005 O
0.250 0.999 0.005 O
0.490 0.750 0.467 O
0.510 0.250 0.533 O
0.750 0.001 0.995 O
0.750 0.499 0.995 O
0.990 0.250 0.533 O
```

calculated volume	222.13	Å³ per cell

Model y:
Li5InO4 | PBE-GGA | optimized geometry

Cell and atoms, written as POSCAR:
```
Li5InO4
1.0
-1.594 2.853 5.601
1.594 -2.853 5.601
1.594 2.853 -5.601
Li In O
5 1 4
direct
0.000 0.000 0.000 Li
0.098 0.324 0.775 Li
0.451 0.676 0.775 Li
0.549 0.324 0.225 Li
0.902 0.676 0.225 Li
0.500 0.000 0.500 In
0.237 0.500 0.737 O
0.296 0.796 0.500 O
0.704 0.204 0.500 O
0.763 0.500 0.263 O
```

calculated volume	101.89	Å³ per cell

What should be chosen as the most stable of them? Choose model w.